(1)
A plane-wave DFT calculation with GGA-PBE was carried out for an optimized crystal structure of RbSmTiO4.

Cell lengths 6.0459, 6.1092, 7.7680 Å; angles 90.00, 107.61, 90.00 degrees
Positions (direct):
Ti  0.7317  0.2500  0.6574
Ti  0.2683  0.7500  0.3426
Sm  0.1931  0.2500  0.5447
Sm  0.8069  0.7500  0.4553
O  0.0581  0.5233  0.3316
O  0.4755  0.7500  0.5621
O  0.5336  0.2500  0.7947
O  0.4664  0.7500  0.2053
O  0.5245  0.2500  0.4379
O  0.9419  0.0233  0.6684
O  0.0581  0.9767  0.3316
O  0.9419  0.4767  0.6684
Rb  0.6907  0.7500  0.9283
Rb  0.3093  0.2500  0.0717

Properties
SG ... P2_1/m, No. 11
Crystal system ... monoclinic
N(E_F) ... 0.000 states/eV per atom
Formation energy without anion corrections ... -1956 kJ/mol of formula units


(2)
A plane-wave DFT calculation with GGA-PBE was carried out for an optimized crystal structure of Rb2SmTiO4.

Cell lengths 6.1018, 6.1018, 6.1018 Å; angles 99.47, 114.69, 114.69 degrees
Last column: magnetic moment on the atom in μB.
Positions (direct):
O  0.6933  0.4381  0.5315  0.01
O  0.0934  0.2552  0.5619  0.01
O  0.9066  0.4685  0.1618  0.01
O  0.3067  0.8382  0.7448  0.01
Sm  0.5000  0.2500  0.7500  0.17
Ti  0.0000  0.5000  0.5000  0.02
Rb  0.0000  0.0000  0.0000  0.01
Rb  0.5000  0.7500  0.2500  0.02

Properties
SG ... I-4, No. 82
Crystal system ... tetragonal
N(E_F) ... 0.137 states/eV per atom
Formation energy without anion corrections ... -1854 kJ/mol of formula units


(3)
A plane-wave DFT calculation with GGA-PBE was carried out for an optimized crystal structure of RbSmTlO3.

Cell lengths 3.5911, 7.1136, 11.1746 Å; angles 108.04, 90.00, 90.00 degrees
Positions (direct):
O  0.2500  0.6497  0.3461
O  0.7500  0.4348  0.0885
O  0.2500  0.1094  0.7951
O  0.2500  0.5652  0.9115
O  0.7500  0.8906  0.2049
O  0.7500  0.3503  0.6539
Rb  0.2500  0.2343  0.2310
Rb  0.7500  0.7657  0.7690
Sm  0.7500  0.3384  0.8739
Sm  0.2500  0.6616  0.1261
Tl  0.2500  0.1538  0.6005
Tl  0.7500  0.8462  0.3995

Properties
SG ... P2_1/m, No. 11
Crystal system ... monoclinic
N(E_F) ... 0.140 states/eV per atom
Formation energy without anion corrections ... -1094 kJ/mol of formula units